The following is a PBE calculation of RbH2IF8 after structural relaxation, from the Alexandria database.

Geometry as POSCAR:
```
RbH2IF8
1.0
5.002 0.856 0.374
0.897 4.949 -0.089
0.641 -0.094 8.217
F I H Rb
8 1 2 1
Cartesian
4.054 1.895 1.881 F
2.407 1.826 5.065 F
4.134 3.885 3.437 F
2.487 3.816 6.621 F
2.067 1.275 8.189 F
4.719 1.725 7.097 F
1.822 3.986 1.405 F
4.474 4.436 0.312 F
0.000 0.000 0.000 I
4.069 3.276 2.686 H
2.472 2.435 5.816 H
0.321 -0.047 4.109 Rb
```

Its volume is 195.80 Å³ per cell. As for the total magnetization: 0.000 μB/atom. For the total energy, the calculation gives -3.826 eV per atom. Its space group is P-1, No. 2.

***

The following is a PBE calculation of Ho3ZnN after structural relaxation, from the Alexandria database.

Geometry as POSCAR:
```
Ho3ZnN
1.0
-4.036 0.996 -2.281
1.748 -1.960 -3.948
-1.772 -4.201 1.301
N Ho Zn
1 3 1
Cartesian
0.000 0.000 0.000 N
-2.018 0.498 -1.140 Ho
0.874 -0.980 -1.974 Ho
-0.886 -2.101 0.650 Ho
-2.030 -2.583 -2.464 Zn
```

Its volume is 106.60 Å³ per cell. As for the total magnetization: 0.000 μB/atom. The uncorrected formation energy comes out at -0.807 eV per atom. Its space group is Pm-3m, No. 221.

***

The following is a PBE calculation of NiIr2Os after structural relaxation, from the Alexandria database.

Geometry as POSCAR:
```
NiIr2Os
1.0
8.811 -0.001 0.000
8.394 2.678 0.000
8.394 1.306 2.338
Ni Ir Os
1 2 1
Cartesian
12.783 1.989 1.167 Ni
6.325 0.984 0.577 Ir
0.031 0.005 0.003 Ir
19.259 2.997 1.758 Os
```

Its volume is 55.19 Å³ per cell. As for the total magnetization: 0.129 μB/atom. The value obtained for the formation energy is 107 meV per atom. Its space group is R3m, No. 160.